# 1
First-principles (PBE-GGA) data for TaIn3Hg after structural relaxation, as listed in the Alexandria database.

Structure (CIF):
```
data_TaIn3Hg
_cell_length_a 5.370
_cell_length_b 5.370
_cell_length_c 5.370
_cell_angle_alpha 90.00
_cell_angle_beta 90.00
_cell_angle_gamma 90.00
_symmetry_space_group_name_H-M 'P m -3 m'
_symmetry_Int_Tables_number 221
_symmetry_space_group_name_Hall '-P 4 2 3'
loop_
_atom_site_label
_atom_site_type_symbol
_atom_site_fract_x
_atom_site_fract_y
_atom_site_fract_z
Ta1 Ta 0.000 0.000 0.000
In1 In 0.000 0.500 0.500
Hg1 Hg 0.500 0.500 0.500
```

Calculated values
distance to the lowest polymorph of the same formula: 664.7 meV per atom

***

# 2
First-principles (PBE-GGA) data for BaTlRh2 after structural relaxation, as listed in the Alexandria database.

Structure (CIF):
```
data_BaTlRh2
_cell_length_a 4.7355
_cell_length_b 4.7355
_cell_length_c 16.5990
_cell_angle_alpha 90.00
_cell_angle_beta 90.00
_cell_angle_gamma 120.00
_symmetry_space_group_name_H-M 'R -3 m'
_symmetry_Int_Tables_number 166
_symmetry_space_group_name_Hall '-R 3 2"'
loop_
_atom_site_label
_atom_site_type_symbol
_atom_site_fract_x
_atom_site_fract_y
_atom_site_fract_z
Ba1 Ba 0.0000 0.0000 0.0000
Tl1 Tl 0.0000 0.0000 0.5000
Rh1 Rh 0.0000 0.0000 0.1819
```

Calculated values
calculated total energy: -4.907 eV/atom

***

# 3
First-principles (PBE-GGA) data for TbPuGa2 after structural relaxation, as listed in the Alexandria database.

Structure (CIF):
```
data_TbPuGa2
_cell_length_a 7.171
_cell_length_b 7.171
_cell_length_c 7.171
_cell_angle_alpha 90.00
_cell_angle_beta 90.00
_cell_angle_gamma 90.00
_symmetry_space_group_name_H-M 'F m -3 m'
_symmetry_Int_Tables_number 225
_symmetry_space_group_name_Hall '-F 4 2 3'
loop_
_atom_site_label
_atom_site_type_symbol
_atom_site_fract_x
_atom_site_fract_y
_atom_site_fract_z
Tb1 Tb 0.000 0.000 0.000
Pu1 Pu 0.000 0.000 0.500
Ga1 Ga 0.250 0.250 0.250
```

Calculated values
distance to the lowest polymorph of the same formula: 0.0 meV per atom

***

Please write out number 1 again, unchanged.
First-principles (PBE-GGA) data for TaIn3Hg after structural relaxation, as listed in the Alexandria database.

Structure (CIF):
```
data_TaIn3Hg
_cell_length_a 5.370
_cell_length_b 5.370
_cell_length_c 5.370
_cell_angle_alpha 90.00
_cell_angle_beta 90.00
_cell_angle_gamma 90.00
_symmetry_space_group_name_H-M 'P m -3 m'
_symmetry_Int_Tables_number 221
_symmetry_space_group_name_Hall '-P 4 2 3'
loop_
_atom_site_label
_atom_site_type_symbol
_atom_site_fract_x
_atom_site_fract_y
_atom_site_fract_z
Ta1 Ta 0.000 0.000 0.000
In1 In 0.000 0.500 0.500
Hg1 Hg 0.500 0.500 0.500
```

Calculated values
distance to the lowest polymorph of the same formula: 664.7 meV per atom

***

> Number 1 is which compound?

TaIn3Hg

***

> Which formula does entry 1 have?

TaIn3Hg